{"formula": "AlBiTeN2", "functional": "PBE-GGA", "state": "optimized geometry", "e_above_lowest_polymorph_mev_per_atom": 0, "density_g_cm3": 7.1, "e_form_raw_kj_per_mol_atoms": 91, "sg": "No. 123", "magnetic_moment_mub_per_cell": 0.00, "cell": [[4.093, 0.000, 0.000], [0.000, 4.093, 0.000], [0.000, 0.000, 5.500]], "species": ["Al", "Bi", "Te", "N", "N"], "fractional_positions": [[0.000, 0.000, 0.000], [0.500, 0.500, 0.500], [0.000, 0.000, 0.500], [0.000, 0.500, 0.000], [0.500, 0.000, 0.000]]}